# 1
Below is a relaxed Pr8Tl2Ru crystal, with properties calculated at the PBE level.

Cell: 9.446 9.446 7.192 Å, 110.61 110.61 35.27°
Fractional positions:
Pr: 0.006 0.006 0.268
Pr: 0.199 0.199 0.745
Pr: 0.360 0.360 0.590
Pr: 0.398 0.398 0.097
Pr: 0.602 0.602 0.903
Pr: 0.640 0.640 0.410
Pr: 0.801 0.801 0.255
Pr: 0.994 0.994 0.732
Tl: 0.182 0.182 0.191
Tl: 0.818 0.818 0.809
Ru: 0.500 0.500 0.500

Computed properties:
SG: C2/m (12)
V: 344.3 Å³ per cell
Energy of formation: -1.9 eV per formula unit

# 2
Below is a relaxed Ca2RhSe crystal, with properties calculated at the PBE level.

Cell: 4.091 4.091 10.779 Å, 90.00 90.00 90.00°
Fractional positions:
Ca: 0.000 0.000 0.000
Ca: 0.000 0.500 0.250
Ca: 0.500 0.000 0.750
Ca: 0.500 0.500 0.500
Rh: 0.000 0.500 0.750
Rh: 0.500 0.000 0.250
Se: 0.000 0.000 0.500
Se: 0.500 0.500 0.000

Computed properties:
SG: I-4m2 (119)
V: 180.4 Å³ per cell
Raw formation energy: -698 meV per atom

# 3
Below is a relaxed SrY2Pt2 crystal, with properties calculated at the PBE level.

Cell: 5.247 5.247 10.980 Å, 90.00 90.00 90.00°
Fractional positions:
Sr: 0.000 0.000 0.000
Sr: 0.500 0.500 0.500
Y: 0.000 0.000 0.336
Y: 0.000 0.000 0.664
Y: 0.500 0.500 0.164
Y: 0.500 0.500 0.836
Pt: 0.000 0.500 0.250
Pt: 0.000 0.500 0.750
Pt: 0.500 0.000 0.250
Pt: 0.500 0.000 0.750

Computed properties:
SG: I4/mmm (139)
V: 302.3 Å³ per cell
Energy above the lowest structure with this stoichiometry: 258 meV per atom
Energy of formation: -3.4 eV per formula unit

# 4
Below is a relaxed Pr2SmDyS6 crystal, with properties calculated at the PBE level.

Cell: 7.491 7.491 7.491 Å, 56.90 56.90 56.90°
Fractional positions:
Pr: 0.000 0.000 0.000
Pr: 0.498 0.498 0.498
Sm: 0.207 0.207 0.207
Dy: 0.705 0.705 0.705
S: 0.085 0.416 0.819
S: 0.322 0.908 0.594
S: 0.416 0.819 0.085
S: 0.594 0.322 0.908
S: 0.819 0.085 0.416
S: 0.908 0.594 0.322

Computed properties:
SG: R3 (146)
V: 276.0 Å³ per cell
Raw formation energy: -2023 meV per atom

Question: What is the formula in the second record?
Answer: Ca2RhSe

Question: The highest V belongs to which entry?
Answer: Pr8Tl2Ru

Repeat the third record exactly.
Below is a relaxed SrY2Pt2 crystal, with properties calculated at the PBE level.

Cell: 5.247 5.247 10.980 Å, 90.00 90.00 90.00°
Fractional positions:
Sr: 0.000 0.000 0.000
Sr: 0.500 0.500 0.500
Y: 0.000 0.000 0.336
Y: 0.000 0.000 0.664
Y: 0.500 0.500 0.164
Y: 0.500 0.500 0.836
Pt: 0.000 0.500 0.250
Pt: 0.000 0.500 0.750
Pt: 0.500 0.000 0.250
Pt: 0.500 0.000 0.750

Computed properties:
SG: I4/mmm (139)
V: 302.3 Å³ per cell
Energy above the lowest structure with this stoichiometry: 258 meV per atom
Energy of formation: -3.4 eV per formula unit

Question: Which of these has the highest V?
Answer: Pr8Tl2Ru